# LiMn2Ru | Alexandria | PBE-GGA | optimized geometry
data_LiMn2Ru
_chemical_formula_sum 'Li1 Mn2 Ru1'
_cell_length_a 2.557
_cell_length_b 3.867
_cell_length_c 4.724
_cell_angle_alpha 90.00
_cell_angle_beta 90.00
_cell_angle_gamma 90.00
_symmetry_space_group_name_H-M 'P 1'
_symmetry_Int_Tables_number 1
_symmetry_space_group_name_Hall 'P 1'
loop_
_atom_site_label
_atom_site_type_symbol
_atom_site_fract_x
_atom_site_fract_y
_atom_site_fract_z
Li1 Li 0.000 0.000 0.000
Mn1 Mn 0.500 0.500 0.230
Mn2 Mn 0.500 0.500 0.770
Ru1 Ru 0.000 0.000 0.500
# * uncorrected energy: -7.08 eV per atom

# LiMn2Ru | Alexandria | PBE-GGA | optimized geometry
data_LiMn2Ru
_chemical_formula_sum 'Li1 Mn2 Ru1'
_cell_length_a 4.773
_cell_length_b 4.773
_cell_length_c 4.773
_cell_angle_alpha 145.33
_cell_angle_beta 131.76
_cell_angle_gamma 60.76
_symmetry_space_group_name_H-M 'P 1'
_symmetry_Int_Tables_number 1
_symmetry_space_group_name_Hall 'P 1'
loop_
_atom_site_label
_atom_site_type_symbol
_atom_site_fract_x
_atom_site_fract_y
_atom_site_fract_z
Li1 Li 0.000 0.000 0.000
Mn1 Mn 0.252 0.752 0.500
Mn2 Mn 0.748 0.248 0.500
Ru1 Ru 0.500 0.500 0.000
# * uncorrected energy: -7.12 eV per atom

Record order is preserved below.
Density of states at the Fermi level: 1.08 1.16 states/eV/atom